Record 1
Material: Ca2Sb2Pd15
Method: DFT, PBE
State: optimized geometry

Calculated values
The value obtained for the density is 9.28 g cm⁻³. The calculated volume is 18.1 Å³ per atom. The total energy is -95.65 eV per cell. The uncorrected formation energy comes out at -0.290 eV/atom. As for the total moment: 0.00 μB/atom.

Cell: 7.0678 7.0678 7.0678 Å, 82.02 82.02 82.02°
Fractional positions:
Ca: 0.3555 0.3555 0.3555
Ca: 0.6445 0.6445 0.6445
Sb: 0.1056 0.1056 0.1056
Sb: 0.8944 0.8944 0.8944
Pd: 0.5000 0.0000 0.0000
Pd: 0.0000 0.0000 0.5000
Pd: 0.0000 0.5000 0.0000
Pd: 0.0000 0.6850 0.3150
Pd: 0.6850 0.3150 0.0000
Pd: 0.3150 0.0000 0.6850
Pd: 0.3150 0.6850 0.0000
Pd: 0.6850 0.0000 0.3150
Pd: 0.0000 0.3150 0.6850
Pd: 0.1610 0.6566 0.6566
Pd: 0.6566 0.6566 0.1610
Pd: 0.6566 0.1610 0.6566
Pd: 0.8390 0.3434 0.3434
Pd: 0.3434 0.3434 0.8390
Pd: 0.3434 0.8390 0.3434

=====

Record 2
Material: CaSbPd2
Method: DFT, PBE
State: optimized geometry

Calculated values
The value obtained for the density is 7.84 g cm⁻³. The calculated volume is 19.8 Å³ per atom. The total energy is -19.11 eV per cell. The uncorrected formation energy comes out at -0.649 eV/atom. As for the total moment: 0.00 μB/atom. Its distance to the lowest polymorph of the same formula is 143 meV per atom.

Cell: 3.7683 4.5892 4.5892 Å, 90.00 90.00 90.00°
Fractional positions:
Sb: 0.5000 0.0000 0.0000
Ca: 0.5000 0.5000 0.5000
Pd: 0.0000 0.0000 0.5000
Pd: 0.0000 0.5000 0.0000

=====

Record 3
Material: Ca2SbPd
Method: DFT, PBE
State: optimized geometry

Calculated values
The value obtained for the density is 4.73 g cm⁻³. The calculated volume is 27.1 Å³ per atom. The total energy is -33.24 eV per cell. The uncorrected formation energy comes out at -0.826 eV/atom. As for the total moment: 0.00 μB/atom.

Cell: 4.6473 6.0022 8.3984 Å, 112.40 90.00 90.00°
Fractional positions:
Ca: 0.7500 0.2059 0.4326
Ca: 0.2500 0.7941 0.5674
Ca: 0.2500 0.7709 0.0806
Ca: 0.7500 0.2291 0.9194
Sb: 0.2500 0.3434 0.2090
Sb: 0.7500 0.6566 0.7910
Pd: 0.7500 0.6211 0.2875
Pd: 0.2500 0.3789 0.7125

=====

Record 4
Material: CaSbPd3
Method: DFT, PBE
State: optimized geometry

Calculated values
The value obtained for the density is 6.76 g cm⁻³. The calculated volume is 23.6 Å³ per atom. The total energy is -18.97 eV per cell. The uncorrected formation energy comes out at 0.547 eV/atom. As for the total moment: 0.00 μB/atom. Its distance to the lowest polymorph of the same formula is 1156 meV per atom.

Cell: 4.9074 4.9074 4.9074 Å, 90.00 90.00 90.00°
Fractional positions:
Sb: 0.5000 0.5000 0.5000
Ca: 0.0000 0.0000 0.0000
Pd: 0.0000 0.5000 0.0000
Pd: 0.0000 0.0000 0.5000
Pd: 0.5000 0.0000 0.0000

=====

Record 5
Material: CaSb2Pd5
Method: DFT, PBE
State: optimized geometry

Calculated values
The value obtained for the density is 8.50 g cm⁻³. The calculated volume is 19.9 Å³ per atom. The total energy is -40.51 eV per cell. The uncorrected formation energy comes out at -0.537 eV/atom. As for the total moment: 0.00 μB/atom.

Cell: 4.0473 6.7534 6.7534 Å, 67.73 72.56 72.56°
Fractional positions:
Ca: 0.0000 0.0000 0.0000
Sb: 0.7499 0.7501 0.7501
Sb: 0.2501 0.2499 0.2499
Pd: 0.0000 0.5000 0.5000
Pd: 0.6385 0.5541 0.1690
Pd: 0.3615 0.4459 0.8310
Pd: 0.3615 0.8310 0.4459
Pd: 0.6385 0.1690 0.5541

=====

Record 6
Material: CaSb3Pd3
Method: DFT, PBE
State: optimized geometry

Calculated values
The value obtained for the density is 7.26 g cm⁻³. The calculated volume is 23.7 Å³ per atom. The total energy is -66.38 eV per cell. The uncorrected formation energy comes out at -0.464 eV/atom. As for the total moment: 0.00 μB/atom. Its distance to the lowest polymorph of the same formula is 0 meV per atom.

Cell: 8.2221 8.2221 7.3900 Å, 56.20 56.20 60.00°
Fractional positions:
Ca: 0.3321 0.3321 0.0038
Ca: 0.6679 0.6679 0.9962
Sb: 0.3941 0.7854 0.7302
Sb: 0.7854 0.0904 0.7302
Sb: 0.0904 0.3941 0.7302
Sb: 0.9096 0.6059 0.2698
Sb: 0.2146 0.9096 0.2698
Sb: 0.6059 0.2146 0.2698
Pd: 0.2726 0.5593 0.2529
Pd: 0.9151 0.2726 0.2529
Pd: 0.5593 0.9151 0.2529
Pd: 0.4407 0.0849 0.7471
Pd: 0.0849 0.7274 0.7471
Pd: 0.7274 0.4407 0.7471

=====

Record 7
Material: CaSb2Pd6
Method: DFT, PBE
State: optimized geometry

Calculated values
The value obtained for the density is 7.97 g cm⁻³. The calculated volume is 21.3 Å³ per atom. The total energy is -44.80 eV per cell. The uncorrected formation energy comes out at -0.378 eV/atom. As for the total moment: 0.00 μB/atom. Its distance to the lowest polymorph of the same formula is 57 meV per atom.

Cell: 5.6631 5.6631 6.9147 Å, 90.00 90.00 120.00°
Fractional positions:
Ca: 0.0000 0.0000 0.0000
Sb: 0.3333 0.6667 0.5000
Sb: 0.6667 0.3333 0.5000
Pd: 0.4999 0.0000 0.1963
Pd: 0.5001 0.5001 0.1963
Pd: 0.0000 0.4999 0.1963
Pd: 0.4999 0.4999 0.8037
Pd: 0.0000 0.5001 0.8037
Pd: 0.5001 0.0000 0.8037

=====

Record 8
Material: CaSb3Pd
Method: DFT, PBE
State: optimized geometry

Calculated values
The value obtained for the density is 5.70 g cm⁻³. The calculated volume is 29.8 Å³ per atom. The total energy is -20.13 eV per cell. The uncorrected formation energy comes out at -0.114 eV/atom. As for the total moment: 0.00 μB/atom. Its distance to the lowest polymorph of the same formula is 409 meV per atom.

Cell: 5.3026 5.3026 5.3026 Å, 90.00 90.00 90.00°
Fractional positions:
Sb: 0.0000 0.5000 0.0000
Sb: 0.0000 0.0000 0.5000
Sb: 0.5000 0.0000 0.0000
Ca: 0.5000 0.5000 0.5000
Pd: 0.0000 0.0000 0.0000

=====

Record 9
Material: Ca3Sb2Pd4
Method: DFT, PBE
State: optimized geometry

Calculated values
The value obtained for the density is 6.32 g cm⁻³. The calculated volume is 23.0 Å³ per atom. The total energy is -42.20 eV per cell. The uncorrected formation energy comes out at -0.798 eV/atom. As for the total moment: 0.00 μB/atom.

Cell: 4.5848 5.6324 8.8532 Å, 96.23 90.00 114.02°
Fractional positions:
Ca: 0.3735 0.7470 0.6101
Ca: 0.0000 0.0000 0.0000
Ca: 0.6265 0.2530 0.3899
Sb: 0.3252 0.6504 0.2212
Sb: 0.6748 0.3496 0.7788
Pd: 0.7301 0.4601 0.0878
Pd: 0.0844 0.1688 0.6309
Pd: 0.9156 0.8312 0.3691
Pd: 0.2699 0.5399 0.9122

=====

Record 10
Material: Ca2ScSb3Pd4
Method: DFT, PBE
State: optimized geometry

Calculated values
The value obtained for the density is 6.78 g cm⁻³. The calculated volume is 22.4 Å³ per atom. The total energy is -51.69 eV per cell. The uncorrected formation energy comes out at -0.822 eV/atom. As for the total moment: 0.00 μB/atom.

Cell: 4.4123 4.4123 11.5278 Å, 90.00 90.00 90.00°
Fractional positions:
Ca: 0.5000 0.0000 0.2286
Ca: 0.0000 0.5000 0.7714
Sc: 0.5000 0.5000 0.5000
Sb: 0.0000 0.0000 0.5000
Sb: 0.5000 0.0000 0.8661
Sb: 0.0000 0.5000 0.1339
Pd: 0.5000 0.5000 0.0000
Pd: 0.0000 0.0000 0.0000
Pd: 0.5000 0.0000 0.6400
Pd: 0.0000 0.5000 0.3600

=====

Record 11
Material: Ca3SiSb2Pd9
Method: DFT, PBE
State: optimized geometry

Calculated values
The value obtained for the density is 6.56 g cm⁻³. The calculated volume is 22.8 Å³ per atom. The total energy is -73.89 eV per cell. The uncorrected formation energy comes out at -0.499 eV/atom. As for the total moment: 0.00 μB/atom.

Cell: 6.9145 6.9145 8.2504 Å, 90.00 90.00 120.00°
Fractional positions:
Ca: 0.3333 0.6667 0.6980
Ca: 0.0000 0.0000 0.0000
Ca: 0.6667 0.3333 0.3020
Si: 0.0000 0.0000 0.5000
Sb: 0.3333 0.6667 0.2082
Sb: 0.6667 0.3333 0.7918
Pd: 0.8674 0.1326 0.7075
Pd: 0.8674 0.7349 0.7075
Pd: 0.2651 0.1326 0.7075
Pd: 0.7349 0.8674 0.2925
Pd: 0.1326 0.2651 0.2925
Pd: 0.1326 0.8674 0.2925
Pd: 0.5000 0.0000 0.0000
Pd: 0.0000 0.5000 0.0000
Pd: 0.5000 0.5000 0.0000

=====

Record 12
Material: CaSmSbPd
Method: DFT, PBE
State: optimized geometry

Calculated values
The value obtained for the density is 6.86 g cm⁻³. The calculated volume is 25.3 Å³ per atom. The total energy is -19.33 eV per cell. The uncorrected formation energy comes out at -0.824 eV/atom. As for the total moment: 0.00 μB/atom.

Cell: 5.2332 5.2332 5.2332 Å, 60.00 60.00 60.00°
Fractional positions:
Sb: 0.5000 0.5000 0.5000
Ca: 0.7500 0.7500 0.7500
Pd: 0.0000 0.0000 0.0000
Sm: 0.2500 0.2500 0.2500

=====

Record 13
Material: Ca2SnSb3Pd4
Method: DFT, PBE
State: optimized geometry

Calculated values
The value obtained for the density is 7.17 g cm⁻³. The calculated volume is 22.9 Å³ per atom. The total energy is -48.27 eV per cell. The uncorrected formation energy comes out at -0.713 eV/atom. As for the total moment: 0.00 μB/atom.

Cell: 4.5596 4.5596 11.0266 Å, 90.00 90.00 90.00°
Fractional positions:
Ca: 0.5000 0.0000 0.2331
Ca: 0.0000 0.5000 0.7669
Sn: 0.5000 0.5000 0.5000
Sb: 0.0000 0.0000 0.5000
Sb: 0.5000 0.0000 0.8702
Sb: 0.0000 0.5000 0.1298
Pd: 0.5000 0.5000 0.0000
Pd: 0.0000 0.0000 0.0000
Pd: 0.5000 0.0000 0.6349
Pd: 0.0000 0.5000 0.3651

=====

Record 14
Material: Ca2Sn3SbPd4
Method: DFT, PBE
State: optimized geometry

Calculated values
The value obtained for the density is 7.09 g cm⁻³. The calculated volume is 23.0 Å³ per atom. The total energy is -47.60 eV per cell. The uncorrected formation energy comes out at -0.669 eV/atom. As for the total moment: 0.00 μB/atom.

Cell: 4.5873 4.5873 10.9410 Å, 90.00 90.00 90.00°
Fractional positions:
Ca: 0.5000 0.0000 0.2410
Ca: 0.0000 0.5000 0.7590
Sn: 0.0000 0.0000 0.5000
Sn: 0.5000 0.0000 0.8758
Sn: 0.0000 0.5000 0.1242
Sb: 0.5000 0.5000 0.5000
Pd: 0.5000 0.5000 0.0000
Pd: 0.0000 0.0000 0.0000
Pd: 0.5000 0.0000 0.6359
Pd: 0.0000 0.5000 0.3641

=====

Record 15
Material: Sr2CaSb3Pd4
Method: DFT, PBE
State: optimized geometry

Calculated values
The value obtained for the density is 6.85 g cm⁻³. The calculated volume is 24.4 Å³ per atom. The total energy is -46.81 eV per cell. The uncorrected formation energy comes out at -0.831 eV/atom. As for the total moment: 0.00 μB/atom.

Cell: 4.6409 4.6409 11.3202 Å, 90.00 90.00 90.00°
Fractional positions:
Sr: 0.5000 0.0000 0.2267
Sr: 0.0000 0.5000 0.7733
Ca: 0.5000 0.5000 0.5000
Sb: 0.0000 0.0000 0.5000
Sb: 0.5000 0.0000 0.8755
Sb: 0.0000 0.5000 0.1245
Pd: 0.5000 0.5000 0.0000
Pd: 0.0000 0.0000 0.0000
Pd: 0.5000 0.0000 0.6441
Pd: 0.0000 0.5000 0.3559

=====

Record 16
Material: CaTbSbPd
Method: DFT, PBE
State: optimized geometry

Calculated values
The value obtained for the density is 7.20 g cm⁻³. The calculated volume is 24.6 Å³ per atom. The total energy is -19.23 eV per cell. The uncorrected formation energy comes out at -0.822 eV/atom. As for the total moment: 0.00 μB/atom.

Cell: 5.1851 5.1851 5.1851 Å, 60.00 60.00 60.00°
Fractional positions:
Sb: 0.0000 0.0000 0.0000
Ca: 0.7500 0.7500 0.7500
Tb: 0.2500 0.2500 0.2500
Pd: 0.5000 0.5000 0.5000

=====

Record 17
Material: CaSbTe2Pd
Method: DFT, PBE
State: optimized geometry

Calculated values
The value obtained for the density is 5.63 g cm⁻³. The calculated volume is 30.9 Å³ per atom. The total energy is -19.16 eV per cell. The uncorrected formation energy comes out at -0.313 eV/atom. As for the total moment: 0.00 μB/atom. Its distance to the lowest polymorph of the same formula is 0 meV per atom.

Cell: 5.5496 5.5496 5.0161 Å, 90.00 90.00 90.00°
Fractional positions:
Sb: 0.0000 0.0000 0.5000
Ca: 0.5000 0.5000 0.5000
Te: 0.0000 0.5000 0.0000
Te: 0.5000 0.0000 0.0000
Pd: 0.0000 0.0000 0.0000

=====

Record 18
Material: CaSbTe2Pd
Method: DFT, PBE
State: optimized geometry

Calculated values
The value obtained for the density is 4.67 g cm⁻³. The calculated volume is 37.3 Å³ per atom. The total energy is -14.57 eV per cell. The uncorrected formation energy comes out at 0.607 eV/atom. As for the total moment: 0.00 μB/atom. Its distance to the lowest polymorph of the same formula is 920 meV per atom.

Cell: 5.7033 5.7033 5.7268 Å, 90.00 90.00 90.00°
Fractional positions:
Sb: 0.0000 0.0000 0.5000
Ca: 0.0000 0.0000 0.0000
Te: 0.0000 0.5000 0.0000
Te: 0.5000 0.0000 0.0000
Pd: 0.5000 0.5000 0.5000

=====

Record 19
Material: Ca2TiSb4Pd3
Method: DFT, PBE
State: optimized geometry

Calculated values
The value obtained for the density is 6.66 g cm⁻³. The calculated volume is 23.3 Å³ per atom. The total energy is -50.95 eV per cell. The uncorrected formation energy comes out at -0.698 eV/atom. As for the total moment: 0.04 μB/atom.

Cell: 4.4597 4.4597 11.7110 Å, 90.00 90.00 90.00°
Fractional positions:
Ca: 0.5000 0.0000 0.2457
Ca: 0.0000 0.5000 0.7543
Ti: 0.5000 0.5000 0.5000
Sb: 0.5000 0.5000 0.0000
Sb: 0.0000 0.0000 0.0000
Sb: 0.5000 0.0000 0.6361
Sb: 0.0000 0.5000 0.3639
Pd: 0.0000 0.0000 0.5000
Pd: 0.5000 0.0000 0.8605
Pd: 0.0000 0.5000 0.1395

=====

Record 20
Material: Ca3Tl2SbPd8
Method: DFT, PBE
State: optimized geometry

Calculated values
The value obtained for the density is 8.75 g cm⁻³. The calculated volume is 20.4 Å³ per atom. The total energy is -63.35 eV per cell. The uncorrected formation energy comes out at -0.497 eV/atom. As for the total moment: 0.00 μB/atom.

Cell: 5.5634 5.5634 10.6392 Å, 90.00 90.00 120.00°
Fractional positions:
Ca: 0.3333 0.6667 0.5671
Ca: 0.6667 0.3333 0.4329
Ca: 0.0000 0.0000 0.0000
Tl: 0.3333 0.6667 0.0867
Tl: 0.6667 0.3333 0.9133
Sb: 0.0000 0.0000 0.5000
Pd: 0.3333 0.6667 0.8349
Pd: 0.6667 0.3333 0.1651
Pd: 0.1672 0.8328 0.2976
Pd: 0.8328 0.1672 0.7024
Pd: 0.1672 0.3343 0.2976
Pd: 0.8328 0.6657 0.7024
Pd: 0.6657 0.8328 0.2976
Pd: 0.3343 0.1672 0.7024